[1]
Here is an optimized crystal structure of RbInNiAs2 from the Alexandria database. Energies are from PBE-GGA.

Values from the calculation:
**Total magnetization**: 0.0 μB per formula unit
**Calculated volume**: 24.5 Å³/atom
**Energy**: -18.4 eV/f.u.
**DOS at the Fermi energy**: 3.1 states/eV/f.u.

Cell: 4.920 4.920 5.058 Å, 90.00 90.00 90.00°
Sites, in units of the cell vectors:
Rb 0.000 0.000 0.000
In 0.500 0.500 0.000
Ni 0.500 0.500 0.500
As 0.000 0.500 0.500
As 0.500 0.000 0.500



[2]
Here is an optimized crystal structure of In2NiAsRu from the Alexandria database. Energies are from PBE-GGA.

Values from the calculation:
**Total magnetization**: 0.4 μB per formula unit
**Calculated volume**: 24.3 Å³/atom
**Energy**: -22.3 eV/f.u.
**DOS at the Fermi energy**: 4.5 states/eV/f.u.

Cell: 5.164 5.164 4.556 Å, 90.00 90.00 90.00°
Sites, in units of the cell vectors:
In 0.000 0.500 0.000
In 0.500 0.000 0.000
Ni 0.000 0.000 0.500
As 0.500 0.500 0.500
Ru 0.500 0.500 0.000



[3]
Here is an optimized crystal structure of InNiAs2Se from the Alexandria database. Energies are from PBE-GGA.

Values from the calculation:
**Total magnetization**: 0.0 μB per formula unit
**Calculated volume**: 21.6 Å³/atom
**Energy**: -20.0 eV/f.u.
**DOS at the Fermi energy**: 5.0 states/eV/f.u.
**ΔE_f (raw)**: 262.5 meV per atom
**Offset from the most stable computed form**: 0.0 meV per atom

Cell: 4.598 4.598 5.099 Å, 90.00 90.00 90.00°
Sites, in units of the cell vectors:
In 0.000 0.000 0.000
Ni 0.500 0.500 0.500
As 0.000 0.500 0.500
As 0.500 0.000 0.500
Se 0.500 0.500 0.000



[4]
Here is an optimized crystal structure of InNiAs2Se from the Alexandria database. Energies are from PBE-GGA.

Values from the calculation:
**Total magnetization**: 0.8 μB per formula unit
**Calculated volume**: 28.2 Å³/atom
**Energy**: -15.0 eV/f.u.
**DOS at the Fermi energy**: 8.9 states/eV/f.u.
**ΔE_f (raw)**: 1268.0 meV per atom
**Offset from the most stable computed form**: 1005.5 meV per atom

Cell: 5.177 5.177 5.252 Å, 90.00 90.00 90.00°
Sites, in units of the cell vectors:
In 0.000 0.000 0.000
Ni 0.500 0.500 0.500
As 0.000 0.500 0.000
As 0.500 0.000 0.000
Se 0.000 0.000 0.500